KCuTeS | PBE | relaxed

a b c (Å): 11.1976 4.1490 4.7109
angles (deg): 90.00 114.85 90.00
Fractional coordinates of all 8 atoms:
K: 0.0000 0.0000 0.0000
K: 0.5000 0.5000 0.0000
Cu: 0.2762 0.5000 0.2772
Cu: 0.7762 0.0000 0.2772
Te: 0.1461 0.5000 0.6469
Te: 0.6461 0.0000 0.6469
S: 0.3867 0.0000 0.3851
S: 0.8867 0.5000 0.3851

Raw total energy   -3.526 eV per atom
Density of states at the Fermi level   2.227 states/eV per cell
Formation energy (no corrections)   -0.410 eV/atom